1.
The following is a DFT calculation (PBE-GGA) of a relaxed structure of TeMo4Pt.

POSCAR file:
```
TeMo4Pt
1.0
0.000 3.741 3.741
3.741 0.000 3.741
3.741 3.741 0.000
Mo Te Pt
4 1 1
Direct
0.377 0.377 0.377
0.377 0.870 0.377
0.377 0.377 0.870
0.870 0.377 0.377
0.000 0.000 0.000
0.750 0.750 0.750
```

**Magnetic moment**: 0.00 Bohr magnetons per cell
**Electronic total energy**: -49.53 eV/cell
**Volume**: 17.46 Å³ per atom
**Space-group type**: F-43m (216)
**Uncorrected formation energy**: 0.497 eV/atom

---

2.
The following is a DFT calculation (PBE-GGA) of a relaxed structure of Ce2Mg5Tl4.

POSCAR file:
```
Ce2Mg5Tl4
1.0
6.354 0.000 0.000
3.177 4.924 0.000
3.177 0.000 9.793
Mg Tl Ce
5 4 2
Direct
0.250 0.500 0.500
0.500 0.500 0.000
0.500 0.000 0.000
0.750 0.500 0.500
0.000 0.500 0.000
0.473 0.317 0.736
0.209 0.317 0.264
0.527 0.683 0.264
0.791 0.683 0.736
0.104 0.000 0.792
0.896 0.000 0.208
```

**Magnetic moment**: 2.39 Bohr magnetons per cell
**Electronic total energy**: -29.29 eV/cell
**Volume**: 27.85 Å³ per atom
**Space-group type**: Fmmm (69)
**Energy of formation**: 0.002 eV/atom

---

3.
The following is a DFT calculation (PBE-GGA) of a relaxed structure of YAl2Sb.

POSCAR file:
```
YAl2Sb
1.0
5.820 -0.036 -0.003
2.798 5.104 0.003
-4.306 -2.539 2.981
Y Al Sb
1 2 1
Direct
0.750 0.250 0.500
0.500 0.500 0.000
0.000 0.000 0.000
0.250 0.750 0.500
```

**Magnetic moment**: 0.00 Bohr magnetons per cell
**Electronic total energy**: -19.45 eV/cell
**Volume**: 22.21 Å³ per atom
**Space-group type**: I4/mmm (139)
**Uncorrected formation energy**: -0.345 eV/atom

---

4.
The following is a DFT calculation (PBE-GGA) of a relaxed structure of Rb2CaZnI6.

POSCAR file:
```
Rb2CaZnI6
1.0
-9.873 0.185 2.822
-7.667 -7.040 -0.386
-4.658 -4.203 6.831
Ca Rb I Zn
1 2 6 1
Direct
0.850 0.760 0.490
0.561 0.524 0.375
0.043 0.126 0.792
0.959 0.499 0.847
0.488 0.668 0.733
0.615 0.122 0.887
0.147 0.901 0.233
0.541 0.191 0.347
0.033 0.509 0.257
0.424 0.363 0.052
```

**Magnetic moment**: 0.00 Bohr magnetons per cell
**Electronic total energy**: -26.62 eV/cell
**Volume**: 49.92 Å³ per atom
**Energy relative to the lowest polymorph listed for this composition**: 0 meV/atom
**Space-group type**: P1 (1)
**Uncorrected formation energy**: -1.210 eV/atom

---

5.
The following is a DFT calculation (PBE-GGA) of a relaxed structure of Rh2WN2.

POSCAR file:
```
Rh2WN2
1.0
5.565 0.000 0.000
0.000 5.565 0.000
0.000 0.000 4.001
N Rh W
4 4 2
Direct
0.189 0.689 0.000
0.689 0.811 0.000
0.311 0.189 0.000
0.811 0.311 0.000
0.825 0.325 0.500
0.325 0.175 0.500
0.675 0.825 0.500
0.175 0.675 0.500
0.000 0.000 0.000
0.500 0.500 0.000
```

**Magnetic moment**: 0.00 Bohr magnetons per cell
**Electronic total energy**: -88.12 eV/cell
**Volume**: 12.39 Å³ per atom
**Energy relative to the lowest polymorph listed for this composition**: 0 meV/atom
**Space-group type**: P4/mbm (127)
**Uncorrected formation energy**: 0.049 eV/atom

---

6.
The following is a DFT calculation (PBE-GGA) of a relaxed structure of AcTbPt2.

POSCAR file:
```
AcTbPt2
1.0
-0.434 2.871 3.117
-1.564 -1.182 3.782
5.654 -0.843 4.474
Pt Tb Ac
2 1 1
Direct
0.742 0.742 0.773
0.258 0.258 0.227
0.000 0.000 0.000
0.500 0.500 0.500
```

**Magnetic moment**: 0.00 Bohr magnetons per cell
**Electronic total energy**: -25.41 eV/cell
**Volume**: 26.83 Å³ per atom
**Energy relative to the lowest polymorph listed for this composition**: 20 meV/atom
**Space-group type**: R-3m (166)
**Energy of formation**: -1.147 eV/atom

---

7.
The following is a DFT calculation (PBE-GGA) of a relaxed structure of Ca2PuSi4Pt3.

POSCAR file:
```
Ca2PuSi4Pt3
1.0
4.209 0.000 0.000
0.000 4.209 0.000
0.000 0.000 11.094
Pt Si Ca Pu
3 4 2 1
Direct
0.000 0.000 0.500
0.000 0.500 0.113
0.500 0.000 0.887
0.000 0.000 0.000
0.500 0.000 0.671
0.000 0.500 0.329
0.500 0.500 0.000
0.500 0.000 0.232
0.000 0.500 0.768
0.500 0.500 0.500
```

**Magnetic moment**: 5.07 Bohr magnetons per cell
**Electronic total energy**: -65.23 eV/cell
**Volume**: 19.66 Å³ per atom
**Space-group type**: P-4m2 (115)
**Uncorrected formation energy**: -0.708 eV/atom

---

8.
The following is a DFT calculation (PBE-GGA) of a relaxed structure of IrOsPt2Se.

POSCAR file:
```
IrOsPt2Se
1.0
4.618 0.000 0.000
0.000 4.618 0.000
0.000 0.000 4.556
Se Pt Os Ir
1 2 1 1
Direct
0.000 0.000 0.000
0.500 0.000 0.000
0.000 0.500 0.000
0.500 0.500 0.500
0.000 0.000 0.500
```

**Magnetic moment**: 3.03 Bohr magnetons per cell
**Electronic total energy**: -27.88 eV/cell
**Volume**: 19.44 Å³ per atom
**Space-group type**: P4/mmm (123)
**Uncorrected formation energy**: 1.556 eV/atom